1.
HgGeAsBr2, relaxed, DFT PBE; total magnetization = 1.85 Bohr magnetons per cell; energy relative to the elements, uncorrected = 0.157 eV per atom; E above lowest polymorph = 0 meV/atom
1.0
-1.764 -2.139 4.598
4.252 -3.276 0.107
2.742 3.649 2.750
Br Hg As Ge
2 1 1 1
Direct
0.000 0.500 0.000
0.500 0.000 0.000
0.500 0.500 0.500
0.000 0.000 0.500
0.000 0.000 0.000


2.
VNi2HOs, relaxed, DFT PBE; total magnetization = 0.05 Bohr magnetons per cell; E above lowest polymorph = 8 meV/atom
1.0
-2.072 -2.616 -1.425
0.911 -2.209 2.731
-3.047 1.290 2.061
Ni V Os H
2 1 1 1
Direct
0.000 0.500 0.000
0.500 0.000 0.000
0.500 0.500 0.500
0.000 0.000 0.500
0.000 0.000 0.000


3.
SiSnS2N, relaxed, DFT PBE; total magnetization = 0.00 Bohr magnetons per cell; energy relative to the elements, uncorrected = 0.053 eV per atom; E above lowest polymorph = 383 meV/atom
1.0
3.427 -0.002 -0.001
1.508 3.979 0.013
1.670 1.005 7.530
N Sn S Si
1 1 2 1
Direct
0.426 0.993 0.313
0.485 0.905 0.917
0.394 0.389 0.269
0.773 0.446 0.678
0.721 0.625 0.410


4.
CsLi2SBr, relaxed, DFT PBE; total magnetization = 0.00 Bohr magnetons per cell; energy relative to the elements, uncorrected = -1.393 eV per atom
1.0
-0.451 -1.999 3.880
0.472 -6.852 -3.476
8.307 2.211 2.104
Br Li Cs S
2 4 2 2
Direct
0.250 0.678 0.425
0.750 0.322 0.575
0.750 0.477 0.346
0.250 0.523 0.654
0.750 0.530 0.907
0.250 0.470 0.093
0.750 0.937 0.204
0.250 0.063 0.796
0.750 0.328 0.078
0.250 0.672 0.922


5.
ErThInSn, relaxed, DFT PBE; total magnetization = 0.00 Bohr magnetons per cell
1.0
-4.431 3.083 0.177
-3.803 -0.516 -3.800
-4.774 -2.202 1.238
In Er Th Sn
1 1 1 1
Direct
0.750 0.750 0.750
0.000 0.000 0.000
0.500 0.500 0.500
0.250 0.250 0.250


6.
AcPm2Ag3, relaxed, DFT PBE; total magnetization = 0.00 Bohr magnetons per cell
1.0
3.806 0.000 0.000
0.000 3.806 0.000
0.000 0.000 11.425
Ag Ac Pm
3 1 2
Direct
0.000 0.000 0.000
0.000 0.000 0.313
0.000 0.000 0.687
0.500 0.500 0.500
0.500 0.500 0.839
0.500 0.500 0.161


7.
CeDyTlAu, relaxed, DFT PBE; total magnetization = 1.26 Bohr magnetons per cell
1.0
-0.706 -2.079 4.844
-2.839 -4.458 0.592
2.428 -4.543 1.324
Au Ce Dy Tl
1 1 1 1
Direct
0.750 0.750 0.750
0.000 0.000 0.000
0.500 0.500 0.500
0.250 0.250 0.250


8.
HfCoSbTe2, relaxed, DFT PBE; total magnetization = 0.00 Bohr magnetons per cell; energy relative to the elements, uncorrected = 0.415 eV per atom; E above lowest polymorph = 0 meV/atom
1.0
5.086 0.000 0.000
0.000 5.086 0.000
0.000 0.000 4.727
Co Sb Te Hf
1 1 2 1
Direct
0.000 0.000 0.000
0.000 0.000 0.500
0.000 0.500 0.000
0.500 0.000 0.000
0.500 0.500 0.500


9.
HfGaRe2, relaxed, DFT PBE; total magnetization = 0.00 Bohr magnetons per cell
1.0
7.395 0.000 0.000
0.000 7.395 0.000
3.698 3.698 2.609
Ga Re Hf
2 4 2
Direct
0.250 0.750 0.500
0.500 0.500 0.000
0.578 0.125 0.250
0.172 0.625 0.250
0.375 0.422 0.750
0.875 0.828 0.750
0.000 0.000 0.000
0.750 0.250 0.500


10.
K4AgPb, relaxed, DFT PBE; total magnetization = 0.00 Bohr magnetons per cell; E above lowest polymorph = 0 meV/atom
1.0
10.066 0.000 5.812
3.355 9.491 5.812
0.000 0.000 11.624
K Pb Ag
16 4 4
Direct
0.395 0.395 0.395
0.548 0.548 0.952
0.193 0.193 0.807
0.395 0.815 0.395
0.952 0.548 0.952
0.807 0.807 0.193
0.548 0.952 0.548
0.952 0.952 0.548
0.807 0.193 0.807
0.193 0.807 0.807
0.395 0.395 0.815
0.193 0.807 0.193
0.807 0.193 0.193
0.952 0.548 0.548
0.815 0.395 0.395
0.548 0.952 0.952
0.180 0.459 0.180
0.180 0.180 0.459
0.459 0.180 0.180
0.180 0.180 0.180
0.607 0.607 0.178
0.607 0.178 0.607
0.178 0.607 0.607
0.607 0.607 0.607


11.
Ba2NpCdS5, relaxed, DFT PBE; total magnetization = 6.00 Bohr magnetons per cell; energy relative to the elements, uncorrected = -1.514 eV per atom
1.0
-4.200 -0.080 0.069
2.318 -8.161 3.783
0.089 5.492 11.792
Ba S Cd Np
4 10 2 2
Direct
0.891 0.782 0.184
0.128 0.257 0.311
0.872 0.743 0.811
0.109 0.218 0.684
0.939 0.879 0.558
0.694 0.389 0.879
0.285 0.571 0.650
0.497 0.993 0.774
0.503 0.007 0.274
0.647 0.293 0.503
0.306 0.611 0.379
0.715 0.429 0.150
0.061 0.121 0.058
0.353 0.707 0.003
0.452 0.903 0.449
0.548 0.097 0.949
0.208 0.416 0.016
0.792 0.584 0.516


12.
InGa2Se, relaxed, DFT PBE; total magnetization = 0.00 Bohr magnetons per cell; energy relative to the elements, uncorrected = -0.085 eV per atom; E above lowest polymorph = 37 meV/atom
1.0
3.652 0.000 0.000
0.000 3.652 0.000
0.000 0.000 6.759
Ga In Se
2 1 1
Direct
0.000 0.000 0.222
0.000 0.000 0.778
0.500 0.500 0.500
0.500 0.500 0.000


| no. | E_tot (eV per atom) | calculated volume (Å³/f.u.) |
| --- | --- | --- |
| 1 | -2.426 | 153.6 |
| 2 | -7.128 | 51.3 |
| 3 | -5.149 | 102.7 |
| 4 | -3.489 | 143.8 |
| 5 | -5.057 | 111.4 |
| 6 | -3.957 | 165.5 |
| 7 | -4.488 | 106.4 |
| 8 | -5.078 | 122.3 |
| 9 | -8.809 | 71.3 |
| 10 | -1.878 | 277.6 |
| 11 | -5.773 | 247.3 |
| 12 | -3.154 | 90.1 |